Entry 1:
First-principles (PBE) data for a relaxed Tl2CrReRh crystal, as listed in the Alexandria database.

Values from the calculation:
E_tot in eV per atom: -5.2758
DFT formation energy in eV per atom: 1.555

a b c (Å): 5.2025 5.2025 4.6322
angles (deg): 90.00 90.00 90.00
Fractional coordinates of all 5 atoms:
1 Tl 0.0000 0.5000 0.0000
2 Tl 0.5000 0.0000 0.0000
3 Cr 0.0000 0.0000 0.5000
4 Re 0.5000 0.5000 0.5000
5 Rh 0.0000 0.0000 0.0000

Entry 2:
First-principles (PBE) data for a relaxed Cr5Re3Ru12 crystal, as listed in the Alexandria database.

Values from the calculation:
E_tot in eV per atom: -8.9165
DFT formation energy in eV per atom: 0.922

a b c (Å): 12.0884 12.0884 12.0884
angles (deg): 109.47 109.47 109.47
Fractional coordinates of all 80 atoms:
1 Cr 0.0000 0.0000 0.0000
2 Cr 0.0000 0.0000 0.5000
3 Cr 0.0000 0.5000 0.0000
4 Cr 0.0000 0.5000 0.5000
5 Cr 0.1250 0.7500 0.8750
6 Cr 0.1250 0.8750 0.2500
7 Cr 0.2500 0.1250 0.8750
8 Cr 0.2500 0.6250 0.3750
9 Cr 0.3750 0.2500 0.6250
10 Cr 0.3750 0.6250 0.7500
11 Cr 0.5000 0.0000 0.0000
12 Cr 0.5000 0.0000 0.5000
13 Cr 0.5000 0.5000 0.0000
14 Cr 0.5000 0.5000 0.5000
15 Cr 0.6250 0.3750 0.2500
16 Cr 0.6250 0.7500 0.3750
17 Cr 0.7500 0.3750 0.6250
18 Cr 0.7500 0.8750 0.1250
19 Cr 0.8750 0.1250 0.7500
20 Cr 0.8750 0.2500 0.1250
21 Re 0.1250 0.2500 0.3750
22 Re 0.1250 0.3750 0.7500
23 Re 0.2500 0.3750 0.1250
24 Re 0.2500 0.8750 0.6250
25 Re 0.3750 0.1250 0.2500
26 Re 0.3750 0.7500 0.1250
27 Re 0.6250 0.2500 0.8750
28 Re 0.6250 0.8750 0.7500
29 Re 0.7500 0.1250 0.3750
30 Re 0.7500 0.6250 0.8750
31 Re 0.8750 0.6250 0.2500
32 Re 0.8750 0.7500 0.6250
33 Ru 0.0534 0.2253 0.1306
34 Ru 0.0534 0.3281 0.9228
35 Ru 0.0772 0.6306 0.4053
36 Ru 0.0772 0.9466 0.6719
37 Ru 0.0947 0.7253 0.6719
38 Ru 0.0947 0.8694 0.4228
39 Ru 0.1306 0.0534 0.2253
40 Ru 0.1306 0.5772 0.9053
41 Ru 0.1719 0.2253 0.5947
42 Ru 0.1719 0.4466 0.5772
43 Ru 0.2253 0.1306 0.0534
44 Ru 0.2253 0.5947 0.1719
45 Ru 0.2747 0.3281 0.9053
46 Ru 0.2747 0.4466 0.3694
47 Ru 0.3281 0.9053 0.2747
48 Ru 0.3281 0.9228 0.0534
49 Ru 0.3694 0.2747 0.4466
50 Ru 0.3694 0.5947 0.9228
51 Ru 0.4053 0.0772 0.6306
52 Ru 0.4053 0.8281 0.7747
53 Ru 0.4228 0.0947 0.8694
54 Ru 0.4228 0.8281 0.5534
55 Ru 0.4466 0.3694 0.2747
56 Ru 0.4466 0.5772 0.1719
57 Ru 0.5534 0.4228 0.8281
58 Ru 0.5534 0.6306 0.7253
59 Ru 0.5772 0.1719 0.4466
60 Ru 0.5772 0.9053 0.1306
61 Ru 0.5947 0.1719 0.2253
62 Ru 0.5947 0.9228 0.3694
63 Ru 0.6306 0.4053 0.0772
64 Ru 0.6306 0.7253 0.5534
65 Ru 0.6719 0.0772 0.9466
66 Ru 0.6719 0.0947 0.7253
67 Ru 0.7253 0.5534 0.6306
68 Ru 0.7253 0.6719 0.0947
69 Ru 0.7747 0.4053 0.8281
70 Ru 0.7747 0.8694 0.9466
71 Ru 0.8281 0.5534 0.4228
72 Ru 0.8281 0.7747 0.4053
73 Ru 0.8694 0.4228 0.0947
74 Ru 0.8694 0.9466 0.7747
75 Ru 0.9053 0.1306 0.5772
76 Ru 0.9053 0.2747 0.3281
77 Ru 0.9228 0.0534 0.3281
78 Ru 0.9228 0.3694 0.5947
79 Ru 0.9466 0.6719 0.0772
80 Ru 0.9466 0.7747 0.8694

Entry 3:
First-principles (PBE) data for a relaxed CrReRu4 crystal, as listed in the Alexandria database.

Values from the calculation:
E_tot in eV per atom: -9.3109
DFT formation energy in eV per atom: 0.552

a b c (Å): 5.0205 5.0205 5.0205
angles (deg): 60.00 60.00 60.00
Fractional coordinates of all 6 atoms:
1 Cr 0.0000 0.0000 0.0000
2 Re 0.7500 0.7500 0.7500
3 Ru 0.3746 0.3746 0.3746
4 Ru 0.3746 0.3746 0.8763
5 Ru 0.3746 0.8763 0.3746
6 Ru 0.8763 0.3746 0.3746

Entry 4:
First-principles (PBE) data for a relaxed Cr3ReRu crystal, as listed in the Alexandria database.

Values from the calculation:
E_tot in eV per atom: -8.3936
DFT formation energy in eV per atom: 1.725

a b c (Å): 4.5693 4.5693 4.5693
angles (deg): 90.00 90.00 90.00
Fractional coordinates of all 5 atoms:
1 Cr 0.0000 0.0000 0.5000
2 Cr 0.0000 0.5000 0.0000
3 Cr 0.5000 0.0000 0.0000
4 Re 0.0000 0.0000 0.0000
5 Ru 0.5000 0.5000 0.5000

Entry 5:
First-principles (PBE) data for a relaxed CrReRu4 crystal, as listed in the Alexandria database.

Values from the calculation:
E_tot in eV per atom: -9.8447
DFT formation energy in eV per atom: 0.018

a b c (Å): 6.6656 6.6656 4.6992
angles (deg): 96.72 96.72 23.52
Fractional coordinates of all 6 atoms:
1 Cr 0.0000 0.0000 0.0000
2 Re 0.8318 0.8318 0.6119
3 Ru 0.1610 0.1610 0.7306
4 Ru 0.3336 0.3336 0.1135
5 Ru 0.5002 0.5002 0.5084
6 Ru 0.6610 0.6610 0.2208

Entry 6:
First-principles (PBE) data for a relaxed CrReSi2Ru crystal, as listed in the Alexandria database.

Values from the calculation:
E_tot in eV per atom: -6.8875
Energy relative to the elements, uncorrected in kcal/mol of atoms: 35.8

a b c (Å): 4.4112 4.4112 4.8192
angles (deg): 90.00 90.00 90.00
Fractional coordinates of all 5 atoms:
1 Cr 0.0000 0.0000 0.0000
2 Re 0.5000 0.5000 0.0000
3 Si 0.0000 0.5000 0.5000
4 Si 0.5000 0.0000 0.5000
5 Ru 0.5000 0.5000 0.5000

Entry 7:
First-principles (PBE) data for a relaxed CrReSn2Ru crystal, as listed in the Alexandria database.

Values from the calculation:
E_tot in eV per atom: -6.3915
DFT formation energy in eV per atom: 1.479

a b c (Å): 4.9022 4.9022 4.3400
angles (deg): 90.00 90.00 90.00
Fractional coordinates of all 5 atoms:
1 Cr 0.0000 0.0000 0.0000
2 Re 0.5000 0.5000 0.5000
3 Sn 0.0000 0.5000 0.0000
4 Sn 0.5000 0.0000 0.0000
5 Ru 0.0000 0.0000 0.5000

Entry 8:
First-principles (PBE) data for a relaxed CrReTcRu crystal, as listed in the Alexandria database.

Values from the calculation:
E_tot in eV per atom: -10.1623
DFT formation energy in eV per atom: 0.266

a b c (Å): 4.3186 4.3186 4.3186
angles (deg): 60.00 60.00 60.00
Fractional coordinates of all 4 atoms:
1 Cr 0.0000 0.0000 0.0000
2 Re 0.2500 0.2500 0.2500
3 Tc 0.5000 0.5000 0.5000
4 Ru 0.7500 0.7500 0.7500

Entry 9:
First-principles (PBE) data for a relaxed Cr2ReTcRu crystal, as listed in the Alexandria database.

Values from the calculation:
E_tot in eV per atom: -8.3614
DFT formation energy in eV per atom: 1.906

a b c (Å): 4.4131 4.4131 4.5970
angles (deg): 90.00 90.00 90.00
Fractional coordinates of all 5 atoms:
1 Cr 0.0000 0.5000 0.0000
2 Cr 0.5000 0.0000 0.0000
3 Re 0.0000 0.0000 0.0000
4 Tc 0.5000 0.5000 0.5000
5 Ru 0.0000 0.0000 0.5000

Entry 10:
First-principles (PBE) data for a relaxed ZnCrReRu crystal, as listed in the Alexandria database.

Values from the calculation:
E_tot in eV per atom: -7.9908
DFT formation energy in eV per atom: 0.164

a b c (Å): 4.2703 4.2703 4.2703
angles (deg): 60.00 60.00 60.00
Fractional coordinates of all 4 atoms:
1 Zn 0.0000 0.0000 0.0000
2 Cr 0.7500 0.7500 0.7500
3 Re 0.5000 0.5000 0.5000
4 Ru 0.2500 0.2500 0.2500

Entry 11:
First-principles (PBE) data for a relaxed CrReS2 crystal, as listed in the Alexandria database.

Values from the calculation:
E_tot in eV per atom: -7.4256
Energy relative to the elements, uncorrected in kcal/mol of atoms: 3.6

a b c (Å): 4.1285 4.1285 4.1285
angles (deg): 60.00 60.00 60.00
Fractional coordinates of all 4 atoms:
1 Cr 0.0000 0.0000 0.0000
2 Re 0.5000 0.5000 0.5000
3 S 0.2500 0.2500 0.2500
4 S 0.7500 0.7500 0.7500

Entry 12:
First-principles (PBE) data for a relaxed CrRe3S crystal, as listed in the Alexandria database.

Values from the calculation:
E_tot in eV per atom: -8.1962
Energy relative to the elements, uncorrected in kcal/mol of atoms: 46.6

a b c (Å): 4.4661 4.4661 4.4661
angles (deg): 90.00 90.00 90.00
Fractional coordinates of all 5 atoms:
1 Cr 0.0000 0.0000 0.0000
2 Re 0.0000 0.0000 0.5000
3 Re 0.0000 0.5000 0.0000
4 Re 0.5000 0.0000 0.0000
5 S 0.5000 0.5000 0.5000

Entry 13:
First-principles (PBE) data for a relaxed Cr2ReS crystal, as listed in the Alexandria database.

Values from the calculation:
E_tot in eV per atom: -8.2483
Energy relative to the elements, uncorrected in kcal/mol of atoms: 16.3

a b c (Å): 6.3489 6.3489 6.3489
angles (deg): 129.49 129.49 74.22
Fractional coordinates of all 8 atoms:
1 Cr 0.1051 0.6250 0.9801
2 Cr 0.3750 0.3551 0.4801
3 Cr 0.6449 0.1250 0.0199
4 Cr 0.8750 0.8949 0.5199
5 Re 0.2500 0.7500 0.5000
6 Re 0.5000 0.5000 0.0000
7 S 0.0000 0.0000 0.0000
8 S 0.7500 0.2500 0.5000

Entry 14:
First-principles (PBE) data for a relaxed CrReS2 crystal, as listed in the Alexandria database.

Values from the calculation:
E_tot in eV per atom: -7.5785
Energy relative to the elements, uncorrected in kcal/mol of atoms: 0.1

a b c (Å): 7.1989 7.1989 7.1989
angles (deg): 143.44 143.44 52.67
Fractional coordinates of all 8 atoms:
1 Cr 0.0000 0.0000 0.0000
2 Cr 0.7500 0.2500 0.5000
3 Re 0.2500 0.7500 0.5000
4 Re 0.5000 0.5000 0.0000
5 S 0.1167 0.6250 0.9917
6 S 0.3750 0.3667 0.4917
7 S 0.6333 0.1250 0.0083
8 S 0.8750 0.8833 0.5083

Entry 15:
First-principles (PBE) data for a relaxed CrRe3S crystal, as listed in the Alexandria database.

Values from the calculation:
E_tot in eV per atom: -9.1953
Energy relative to the elements, uncorrected in kcal/mol of atoms: 23.6

a b c (Å): 4.3347 4.3347 4.3347
angles (deg): 90.00 90.00 90.00
Fractional coordinates of all 5 atoms:
1 Cr 0.0000 0.0000 0.0000
2 Re 0.0000 0.5000 0.5000
3 Re 0.5000 0.0000 0.5000
4 Re 0.5000 0.5000 0.0000
5 S 0.5000 0.5000 0.5000

Entry 16:
First-principles (PBE) data for a relaxed CrReS2 crystal, as listed in the Alexandria database.

Values from the calculation:
E_tot in eV per atom: -7.6682
Energy relative to the elements, uncorrected in kcal/mol of atoms: -2.0

a b c (Å): 7.8196 7.8196 7.8196
angles (deg): 21.49 21.49 21.49
Fractional coordinates of all 4 atoms:
1 Cr 0.0000 0.0000 0.0000
2 Re 0.5000 0.5000 0.5000
3 S 0.4006 0.4006 0.4006
4 S 0.5994 0.5994 0.5994

Entry 17:
First-principles (PBE) data for a relaxed CrReTc2S crystal, as listed in the Alexandria database.

Values from the calculation:
E_tot in eV per atom: -7.8810
Energy relative to the elements, uncorrected in kcal/mol of atoms: 34.7

a b c (Å): 4.4293 4.4293 4.1538
angles (deg): 90.00 90.00 90.00
Fractional coordinates of all 5 atoms:
1 Cr 0.0000 0.0000 0.0000
2 Re 0.5000 0.5000 0.5000
3 Tc 0.0000 0.5000 0.0000
4 Tc 0.5000 0.0000 0.0000
5 S 0.0000 0.0000 0.5000

Entry 18:
First-principles (PBE) data for a relaxed CrReTcS2 crystal, as listed in the Alexandria database.

Values from the calculation:
E_tot in eV per atom: -6.5591
Energy relative to the elements, uncorrected in kcal/mol of atoms: 36.4

a b c (Å): 4.5090 4.5090 4.5114
angles (deg): 90.00 90.00 90.00
Fractional coordinates of all 5 atoms:
1 Cr 0.0000 0.0000 0.0000
2 Re 0.5000 0.5000 0.0000
3 Tc 0.0000 0.0000 0.5000
4 S 0.0000 0.5000 0.5000
5 S 0.5000 0.0000 0.5000

Entry 19:
First-principles (PBE) data for a relaxed Ti2CrReS crystal, as listed in the Alexandria database.

Values from the calculation:
E_tot in eV per atom: -7.4069
Energy relative to the elements, uncorrected in kcal/mol of atoms: 22.9

a b c (Å): 4.7929 4.7929 4.4528
angles (deg): 90.00 90.00 90.00
Fractional coordinates of all 5 atoms:
1 Ti 0.0000 0.5000 0.0000
2 Ti 0.5000 0.0000 0.0000
3 Cr 0.0000 0.0000 0.5000
4 Re 0.0000 0.0000 0.0000
5 S 0.5000 0.5000 0.5000

Entry 20:
First-principles (PBE) data for a relaxed Y2CrReS crystal, as listed in the Alexandria database.

Values from the calculation:
E_tot in eV per atom: -7.6650
Energy relative to the elements, uncorrected in kcal/mol of atoms: 3.7

a b c (Å): 5.1362 5.1362 4.0975
angles (deg): 90.00 90.00 90.00
Fractional coordinates of all 5 atoms:
1 Y 0.0000 0.5000 0.0000
2 Y 0.5000 0.0000 0.0000
3 Cr 0.0000 0.0000 0.5000
4 Re 0.5000 0.5000 0.5000
5 S 0.0000 0.0000 0.0000